Entry P
CeDyP2 after structural relaxation, computed with PBE.

POSCAR file:
```
CeDyP2
1.0
4.0494 0.0000 0.0000
2.0247 3.5069 0.0000
2.0247 1.1690 6.5944
P Ce Dy
2 1 1
Cartesian
2.0247 1.1690 1.6286 P
6.0741 3.5069 4.9658 P
4.0494 2.3379 3.2972 Ce
0.0000 0.0000 0.0000 Dy
```

Summary:
Density, g cm⁻³: 6.46
Space-group type: R-3m (166)

***

Entry Q
CeDyP2 after structural relaxation, computed with PBE.

POSCAR file:
```
CeDyP2
1.0
4.0105 0.0000 0.0000
-2.0052 3.4733 0.0018
0.0000 -0.0037 7.0416
Ce Dy P
1 1 2
Cartesian
-1.0026 1.7348 3.5217 Ce
-1.0026 1.7366 0.0009 Dy
1.0026 2.8917 5.3175 P
1.0026 0.5779 1.7260 P
```

Summary:
Density, g cm⁻³: 6.17
Space-group type: P-3m1 (164)

***

Taking the most stable structure as the zero point, the relative energies in meV/atom are entry P 0; entry Q 239.

***

Entry P
CeDy2Pa after structural relaxation, computed with PBE.

POSCAR file:
```
CeDy2Pa
1.0
3.2932 0.0000 0.0000
1.6466 2.8520 0.0000
1.6466 0.9507 12.1396
Pa Ce Dy
1 1 2
Cartesian
0.0000 0.0000 0.0000 Pa
3.2932 1.9013 6.0698 Ce
1.6466 0.9507 8.9316 Dy
4.9397 2.8520 3.2080 Dy
```

Summary:
Density, g cm⁻³: 10.14
Space-group type: R-3m (166)

***

Entry Q
CeDy2Pa after structural relaxation, computed with PBE.

POSCAR file:
```
CeDy2Pa
1.0
3.3457 0.0000 0.0000
0.0000 3.3457 0.0000
0.0000 0.0000 10.3838
Pa Ce Dy
1 1 2
Cartesian
1.6729 1.6729 0.0000 Pa
1.6729 1.6729 5.1919 Ce
0.0000 0.0000 7.9535 Dy
0.0000 0.0000 2.4303 Dy
```

Summary:
Density, g cm⁻³: 9.95
Space-group type: P4/mmm (123)

***

Entry R
CeDy2Pa after structural relaxation, computed with PBE.

POSCAR file:
```
CeDy2Pa
1.0
5.1044 0.0000 0.0000
0.0000 4.7257 0.0000
0.0000 0.0000 4.7257
Pa Ce Dy
1 1 2
Cartesian
2.5522 2.3628 2.3628 Pa
2.5522 0.0000 0.0000 Ce
0.0000 0.0000 2.3628 Dy
0.0000 2.3628 0.0000 Dy
```

Summary:
Density, g cm⁻³: 10.14
Space-group type: P4/mmm (123)

***

Taking the most stable structure as the zero point, the relative energies in meV/atom are entry P 115; entry Q 0; entry R 49.

***

Entry P
CeDyPb after structural relaxation, computed with PBE.

POSCAR file:
```
CeDyPb
1.0
-2.9129 1.8208 1.2104
-1.2271 -4.1195 3.2435
3.2034 3.9531 1.7628
Pb Ce Dy
1 1 1
Cartesian
-0.1634 0.1022 0.0679 Pb
-0.3067 2.5331 3.1013 Ce
-0.4666 -0.9809 3.0476 Dy
```

Summary:
Density, g cm⁻³: 9.26
Space-group type: P3m1 (156)

***

Entry Q
CeDyPb after structural relaxation, computed with PBE.

POSCAR file:
```
CeDyPb
1.0
-4.8398 -1.5665 -0.7082
-1.1798 -4.9784 0.4505
-3.5344 -1.0926 7.9466
Ce Dy Pb
2 2 2
Cartesian
-6.6822 -6.0726 3.2254 Ce
-2.8719 -1.5648 4.4635 Ce
-7.3406 -5.6033 6.6868 Dy
-2.2135 -2.0341 1.0021 Dy
-4.4104 -4.0800 1.9171 Pb
-5.1436 -3.5574 5.7717 Pb
```

Summary:
Density, g cm⁻³: 8.98
Space-group type: R-3m (166)

***

Entry R
CeDyPb after structural relaxation, computed with PBE.

POSCAR file:
```
CeDyPb
1.0
4.3368 0.0000 -0.9044
-0.1886 4.3327 -0.9044
-0.3002 -0.3135 9.4111
Ce Dy Pb
2 2 2
Cartesian
-0.0943 2.1664 -0.4522 Ce
2.1684 0.0000 -0.4522 Ce
0.6264 0.6543 3.0038 Dy
3.2217 3.3649 4.5985 Dy
1.2670 1.3233 6.0755 Pb
2.5811 2.6959 1.5268 Pb
```

Summary:
Density, g cm⁻³: 9.71
Space-group type: I4/mmm (139)

***

Entry S
CeDyPb after structural relaxation, computed with PBE.

POSCAR file:
```
CeDyPb
1.0
3.2745 0.0000 0.0000
0.0000 3.2745 0.0000
-1.6373 -1.6373 8.9499
Pb Ce Dy
1 1 1
Cartesian
1.6373 1.6373 4.8842 Pb
0.0000 0.0000 2.3127 Ce
1.6373 1.6373 8.0179 Dy
```

Summary:
Density, g cm⁻³: 8.82
Space-group type: I4mm (107)

***

Taking the most stable structure as the zero point, the relative energies in meV/atom are entry P 272; entry Q 265; entry R 0; entry S 690.

***

Entry P
Ce2DyPb3 after structural relaxation, computed with PBE.

POSCAR file:
```
Ce2DyPb3
1.0
-3.5676 2.1234 1.7731
-0.2606 -3.5069 3.6752
9.3166 8.4047 8.6804
Ce Dy Pb
4 2 6
Cartesian
6.2139 5.6063 5.7902 Ce
3.1018 2.7989 2.8907 Ce
-2.1414 1.7734 5.0602 Ce
4.0632 7.3706 10.8411 Ce
4.5272 2.4494 6.1782 Dy
-3.5667 2.1229 1.7727 Dy
4.2602 4.8787 8.4773 Pb
2.8738 5.2645 5.2271 Pb
1.2275 2.1429 5.6517 Pb
-0.2670 2.4294 2.2992 Pb
-1.9133 -0.6922 2.7238 Pb
6.0169 8.0982 8.1539 Pb
```

Summary:
Density, g cm⁻³: 10.09
Space-group type: Cmmm (65)

***

Entry Q
Ce2DyPb3 after structural relaxation, computed with PBE.

POSCAR file:
```
Ce2DyPb3
1.0
-3.5569 -5.2764 0.5437
6.8811 -4.2009 4.2487
-2.2622 5.8613 4.5718
Ce Dy Pb
4 2 6
Cartesian
0.8902 -4.0144 4.3626 Ce
-2.5514 -1.9156 2.2385 Ce
3.6134 -1.7004 7.1257 Ce
0.1718 0.3985 5.0016 Ce
1.6076 -8.4215 3.7297 Dy
1.7166 -1.0557 1.0627 Dy
-0.0623 -3.6945 1.3347 Pb
3.3865 -5.7827 3.4577 Pb
-0.7764 0.7256 1.9739 Pb
-1.6033 -2.2428 5.2662 Pb
2.6652 -1.3732 4.0980 Pb
1.8384 -4.3416 7.3904 Pb
```

Summary:
Density, g cm⁻³: 9.06
Space-group type: C2/c (15)

***

Taking the most stable structure as the zero point, the relative energies in meV/atom are entry P 0; entry Q 99.

***

Entry P
CeDy3Pb2 after structural relaxation, computed with PBE.

POSCAR file:
```
CeDy3Pb2
1.0
7.5127 0.0000 0.0000
0.0000 7.4348 0.0000
-3.7563 -3.7174 7.3745
Ce Dy Pb
2 6 4
Cartesian
0.0000 3.7174 0.0000 Ce
0.0000 0.0000 0.0000 Ce
3.7563 1.8587 0.0000 Dy
3.7563 5.5761 0.0000 Dy
3.7563 -1.8587 4.2941 Dy
0.0000 1.8587 3.0803 Dy
0.0000 5.5761 3.0803 Dy
3.7563 1.8587 4.2941 Dy
1.3424 0.0000 5.2496 Pb
5.0987 0.0000 2.1249 Pb
-1.3424 3.7174 5.2496 Pb
2.4139 3.7174 2.1249 Pb
```

Summary:
Density, g cm⁻³: 8.40
Space-group type: Ibam (72)

***

Entry Q
CeDy3Pb2 after structural relaxation, computed with PBE.

POSCAR file:
```
CeDy3Pb2
1.0
4.5579 0.0000 0.0000
0.0000 4.5579 0.0000
0.0000 0.0000 8.6451
Ce Dy Pb
1 3 2
Cartesian
2.2790 2.2790 0.0000 Ce
2.2790 0.0000 2.9867 Dy
0.0000 2.2790 5.6584 Dy
0.0000 0.0000 0.0000 Dy
2.2790 0.0000 6.1725 Pb
0.0000 2.2790 2.4726 Pb
```

Summary:
Density, g cm⁻³: 9.63
Space-group type: P-4m2 (115)

***

Taking the most stable structure as the zero point, the relative energies in meV/atom are entry P 269; entry Q 0.

***

Entry P
CeDyTlPb after structural relaxation, computed with PBE.

POSCAR file:
```
CeDyTlPb
1.0
5.4694 0.0000 0.0000
2.7347 4.7367 0.0000
2.7347 1.5789 4.4658
Pb Tl Ce Dy
1 1 1 1
Cartesian
0.0000 0.0000 0.0000 Pb
5.4694 3.1578 2.2329 Tl
2.7347 1.5789 1.1164 Ce
8.2041 4.7367 3.3493 Dy
```

Summary:
Density, g cm⁻³: 10.25
Space-group type: F-43m (216)

***

Entry Q
CeDyTlPb after structural relaxation, computed with PBE.

POSCAR file:
```
CeDyTlPb
1.0
-1.6131 -2.6282 -4.0143
-0.0620 -4.2233 2.7899
-3.3928 4.2537 1.7701
Ce Dy Tl Pb
1 1 1 1
Cartesian
-0.8376 -3.4257 -0.6122 Ce
0.0000 0.0000 0.0000 Dy
-2.9218 -0.9001 -1.4282 Tl
-2.1462 -1.6977 1.9739 Pb
```

Summary:
Density, g cm⁻³: 10.37
Space-group type: I-4m2 (119)

***

Taking the most stable structure as the zero point, the relative energies in meV/atom are entry P 28; entry Q 0.

***

Entry P
CeDyPd4 after structural relaxation, computed with PBE.

POSCAR file:
```
CeDyPd4
1.0
5.4719 0.0000 0.0000
2.7359 4.7388 0.0000
2.7359 1.5796 4.4678
Pd Ce Dy
4 1 1
Cartesian
5.4719 3.1592 0.5619 Pd
5.4719 1.5829 2.7912 Pd
6.8370 3.9474 2.7912 Pd
4.1068 3.9474 2.7912 Pd
0.0000 0.0000 0.0000 Ce
2.7359 1.5796 1.1169 Dy
```

Summary:
Density, g cm⁻³: 10.44
Space-group type: F-43m (216)

***

Entry Q
CeDyPd4 after structural relaxation, computed with PBE.

POSCAR file:
```
CeDyPd4
1.0
-3.0290 -0.3658 2.8694
3.8324 -2.1302 3.7741
3.4469 9.3424 1.7729
Ce Dy Pd
2 2 8
Cartesian
2.5848 7.1781 3.6438 Ce
1.6655 -0.3317 4.7726 Ce
0.3108 3.3951 3.8177 Dy
3.9395 3.4512 4.5987 Dy
0.0000 0.0000 0.0000 Pd
1.9162 -1.0651 1.8871 Pd
0.6119 2.6900 0.9889 Pd
1.8016 5.1772 5.6187 Pd
2.4487 1.6691 2.7977 Pd
3.6384 4.1563 7.4275 Pd
-0.2730 0.6281 2.8487 Pd
4.5233 6.2183 5.5677 Pd
```

Summary:
Density, g cm⁻³: 10.09
Space-group type: Cmcm (63)

***

Taking the most stable structure as the zero point, the relative energies in meV/atom are entry P 81; entry Q 0.

***

Entry P
CeDy2Pd after structural relaxation, computed with PBE.

POSCAR file:
```
CeDy2Pd
1.0
3.5220 0.0000 0.0000
0.0000 3.5220 0.0000
0.0000 0.0000 8.4399
Pd Ce Dy
1 1 2
Cartesian
1.7610 1.7610 0.0000 Pd
1.7610 1.7610 4.2199 Ce
0.0000 0.0000 6.7439 Dy
0.0000 0.0000 1.6959 Dy
```

Summary:
Density, g cm⁻³: 9.07
Space-group type: P4/mmm (123)

***

Entry Q
CeDy2Pd after structural relaxation, computed with PBE.

POSCAR file:
```
CeDy2Pd
1.0
3.6684 0.0000 0.0000
1.8342 3.1769 0.0000
1.8342 1.0590 9.7109
Ce Dy Pd
1 2 1
Cartesian
3.6684 2.1179 4.8317 Ce
1.8342 1.0590 7.8083 Dy
1.8342 1.0590 1.9153 Dy
3.6684 2.1179 0.0111 Pd
```

Summary:
Density, g cm⁻³: 8.39
Space-group type: R3m (160)

***

Taking the most stable structure as the zero point, the relative energies in meV/atom are entry P 0; entry Q 144.

***

Entry P
CeDyPdPt after structural relaxation, computed with PBE.

POSCAR file:
```
CeDyPdPt
1.0
-3.4203 -2.7139 2.4528
-2.6807 -3.4520 -2.4450
0.8095 -4.8675 0.8558
Pd Ce Pt Dy
1 1 1 1
Cartesian
-2.6457 -5.5167 0.4318 Pd
-3.9686 -8.2751 0.6477 Ce
0.0000 0.0000 0.0000 Pt
-1.3229 -2.7584 0.2159 Dy
```

Summary:
Density, g cm⁻³: 11.30
Space-group type: F-43m (216)

***

Entry Q
CeDyPdPt after structural relaxation, computed with PBE.

POSCAR file:
```
CeDyPdPt
1.0
3.7530 0.0000 0.0000
0.0000 4.5798 0.0000
-1.8765 0.0000 5.3269
Ce Dy Pd Pt
1 1 1 1
Cartesian
1.8765 2.2899 3.8693 Ce
0.0000 0.0000 1.4554 Dy
0.0000 0.0000 4.3694 Pd
1.8765 2.2899 0.9597 Pt
```

Summary:
Density, g cm⁻³: 10.96
Space-group type: Amm2 (38)

***

Taking the most stable structure as the zero point, the relative energies in meV/atom are entry P 84; entry Q 0.

***

Entry P
CePm4Dy after structural relaxation, computed with PBE.

POSCAR file:
```
CePm4Dy
1.0
-4.9700 2.7332 -3.5871
-7.8896 -5.4193 6.8021
6.3747 5.3806 1.5453
Ce Pm Dy
2 8 2
Cartesian
-6.4298 -1.3431 1.6075 Ce
-2.4850 1.3666 -1.7935 Ce
-6.4916 1.3330 3.7322 Pm
-0.7813 1.3616 5.2463 Pm
-3.2563 2.7227 3.4600 Pm
-2.4968 4.0771 0.2880 Pm
-3.9882 -1.3826 4.4723 Pm
-5.7036 1.3328 -0.4860 Pm
-3.2287 -0.0283 1.3003 Pm
0.0067 1.3614 1.0281 Pm
0.7023 4.0569 -1.0209 Dy
3.1873 2.6903 0.7726 Dy
```

Summary:
Density, g cm⁻³: 7.26
Space-group type: Imma (74)

***

Entry Q
CePm4Dy after structural relaxation, computed with PBE.

POSCAR file:
```
CePm4Dy
1.0
-2.6038 -1.1078 1.9372
-2.4236 1.7627 -5.2849
4.9065 -10.5329 0.5716
Ce Pm Dy
1 4 1
Cartesian
-1.3019 -0.5539 0.9686 Ce
2.9827 -8.5174 -0.8615 Pm
-3.1036 -1.3607 -1.9146 Pm
-0.7955 -3.7794 -0.1952 Pm
0.6746 -6.0987 -2.5809 Pm
2.4532 -5.2665 0.2858 Dy
```

Summary:
Density, g cm⁻³: 7.25
Space-group type: C2/m (12)

***

Taking the most stable structure as the zero point, the relative energies in meV/atom are entry P 46; entry Q 0.

***

Entry P
CePmDy after structural relaxation, computed with PBE.

POSCAR file:
```
CePmDy
1.0
-1.5865 -3.1196 -0.5808
-0.5246 -0.3826 3.4878
-5.5536 5.2263 -2.0663
Pm Ce Dy
1 1 1
Cartesian
-0.0724 0.0380 -0.0067 Pm
-3.2763 -0.5833 1.2476 Ce
-4.3159 2.2694 -0.4002 Dy
```

Summary:
Density, g cm⁻³: 7.88
Space-group type: I4mm (107)

***

Entry Q
CePmDy after structural relaxation, computed with PBE.

POSCAR file:
```
CePmDy
1.0
5.6730 0.4110 2.4095
0.0863 3.4836 -0.7965
6.8818 -2.6375 13.2432
Ce Pm Dy
2 2 2
Cartesian
8.3540 1.5009 8.8547 Ce
5.5343 -0.4472 8.0451 Ce
9.0938 -1.2548 12.9302 Pm
4.7948 2.3084 3.9693 Pm
11.9555 0.7024 13.7642 Dy
1.9331 0.3512 3.1353 Dy
```

Summary:
Density, g cm⁻³: 7.88
Space-group type: C2/m (12)

***

Taking the most stable structure as the zero point, the relative energies in meV/atom are entry P 23; entry Q 0.

***

Entry P
CePmDy after structural relaxation, computed with PBE.

POSCAR file:
```
CePmDy
1.0
-0.5829 -3.4725 -0.3662
3.3078 1.2126 0.3471
-0.6115 -0.8101 8.6566
Pm Ce Dy
1 1 1
Cartesian
-0.0032 -0.0042 0.0450 Pm
0.5087 -2.1827 2.7768 Ce
1.6078 -0.8831 5.8158 Dy
```

Summary:
Density, g cm⁻³: 7.86
Space-group type: P3m1 (156)

***

Entry Q
CePmDy after structural relaxation, computed with PBE.

POSCAR file:
```
CePmDy
1.0
5.7955 1.7349 -1.8942
1.7067 5.8038 -1.8942
-5.9991 -6.0283 9.3423
Ce Pm Dy
2 2 2
Cartesian
-2.0054 -2.0152 6.1292 Ce
3.5085 3.5256 -0.5753 Ce
0.4569 0.4591 4.7307 Pm
1.0462 1.0513 0.8232 Pm
2.9108 2.9249 2.9550 Dy
-1.4077 -1.4145 2.5989 Dy
```

Summary:
Density, g cm⁻³: 7.68
Space-group type: C2/m (12)

***

Taking the most stable structure as the zero point, the relative energies in meV/atom are entry P 0; entry Q 74.